1.
## LiHo3Hg12 (PBE)

Data for a geometry-optimized LiHo3Hg12 structure. Values from VASP.

The structure in Quantum ESPRESSO input format:
```
&SYSTEM
  ibrav = 0, nat = 16, ntyp = 3
/
ATOMIC_SPECIES
Li 6.94 Li.upf
Ho 164.93 Ho.upf
Hg 200.59 Hg.upf
CELL_PARAMETERS angstrom
-1.2907 -4.2025 1.0677
0.8449 -1.3364 -4.2387
17.4625 -4.1466 4.7884
ATOMIC_POSITIONS crystal
Li 0.0000 0.0000 0.0000
Ho 0.0000 0.0000 0.2392
Ho 0.0000 0.0000 0.5000
Ho 0.0000 0.0000 0.7608
Hg 0.5000 0.5000 0.0000
Hg 0.5000 0.5000 0.2465
Hg 0.5000 0.5000 0.5000
Hg 0.5000 0.5000 0.7535
Hg 0.5000 0.0000 0.1184
Hg 0.5000 0.0000 0.3722
Hg 0.5000 0.0000 0.6278
Hg 0.5000 0.0000 0.8816
Hg 0.0000 0.5000 0.1184
Hg 0.0000 0.5000 0.3722
Hg 0.0000 0.5000 0.6278
Hg 0.0000 0.5000 0.8816
```

Space-group type: P4/mmm
Energy relative to the elements (kJ/mol of formula units): -434
Raw total energy (Ha/atom): -0.055

---

2.
## Cs2RbHgBr6 (PBE)

Data for a geometry-optimized Cs2RbHgBr6 structure. Values from VASP.

The structure in Quantum ESPRESSO input format:
```
&SYSTEM
  ibrav = 0, nat = 10, ntyp = 4
/
ATOMIC_SPECIES
Cs 132.91 Cs.upf
Br 79.90 Br.upf
Hg 200.59 Hg.upf
Rb 85.47 Rb.upf
CELL_PARAMETERS angstrom
-0.5414 -8.3933 1.1923
1.8946 1.0447 8.2147
-5.1629 -3.1164 5.9793
ATOMIC_POSITIONS crystal
Cs 0.7500 0.2500 0.5000
Cs 0.2500 0.7500 0.5000
Br 0.2301 0.2301 0.5397
Br 0.7699 0.7699 0.4603
Br 0.2303 0.2303 0.0000
Br 0.7697 0.7697 0.0000
Br 0.7697 0.2303 0.0000
Br 0.2303 0.7697 0.0000
Hg 0.0000 0.0000 0.0000
Rb 0.5000 0.5000 0.0000
```

Space-group type: I4/mmm
Raw total energy (Ha/atom): -0.088

---

3.
## Nb3ReF (PBE)

Data for a geometry-optimized Nb3ReF structure. Values from VASP.

The structure in Quantum ESPRESSO input format:
```
&SYSTEM
  ibrav = 0, nat = 5, ntyp = 3
/
ATOMIC_SPECIES
Re 186.21 Re.upf
Nb 92.91 Nb.upf
F 19.00 F.upf
CELL_PARAMETERS angstrom
4.8957 0.0000 0.0000
0.0000 4.8957 0.0000
0.0000 0.0000 4.8957
ATOMIC_POSITIONS crystal
Re 0.0000 0.0000 0.0000
Nb 0.0000 0.5000 0.0000
Nb 0.0000 0.0000 0.5000
Nb 0.5000 0.0000 0.0000
F 0.5000 0.5000 0.5000
```

Space-group type: Pm-3m
Raw total energy (Ha/atom): -0.286
Energy above the lowest structure with this stoichiometry (eV/atom): 0.997

---

4.
## CoAgOs3 (PBE)

Data for a geometry-optimized CoAgOs3 structure. Values from VASP.

The structure in Quantum ESPRESSO input format:
```
&SYSTEM
  ibrav = 0, nat = 5, ntyp = 3
/
ATOMIC_SPECIES
Co 58.93 Co.upf
Os 190.23 Os.upf
Ag 107.87 Ag.upf
CELL_PARAMETERS angstrom
-1.3283 1.1721 4.0540
-0.9423 -4.2252 0.9129
4.1135 -0.5894 1.5182
ATOMIC_POSITIONS crystal
Co 0.0000 0.0000 0.0000
Os 0.0000 0.5000 0.0000
Os 0.0000 0.0000 0.5000
Os 0.5000 0.0000 0.0000
Ag 0.5000 0.5000 0.5000
```

Space-group type: Pm-3m
Energy relative to the elements (kJ/mol of formula units): 925
Raw total energy (Ha/atom): -0.250
Energy above the lowest structure with this stoichiometry (eV/atom): 0.000